[1]
An optimized crystal structure of Sm6Tm4Mg. Source: Alexandria, functional PBE.

abc: 5.6914 5.6047 25.5470
angles: 90.00 90.00 120.51
With the nearest neighbours (Å) after each atom.
Positions (direct):
Sm (0.5000, 0.0000, 0.0000)  8 Tm 3.12-3.49
Sm (0.1838, 0.3676, 0.8937)  6 Tm 3.28-3.67
Sm (0.1468, 0.2936, 0.1810)  4 Tm 3.48-3.61, 7 Sm 3.52-3.80, 3 Mg 3.67-3.71
Sm (0.8532, 0.7064, 0.6810)  4 Tm 3.48-3.61, 7 Sm 3.52-3.80, 3 Mg 3.67-3.71
Sm (0.4779, 0.9558, 0.2500)  3 Mg 3.24-3.26, 2 Tm 3.27
Sm (0.5221, 0.0442, 0.7500)  3 Mg 3.24-3.26, 2 Tm 3.27
Sm (0.1468, 0.2936, 0.3190)  4 Tm 3.48-3.61, 7 Sm 3.52-3.80, 3 Mg 3.67-3.71
Sm (0.8162, 0.6324, 0.1063)  6 Tm 3.28-3.67
Sm (0.8162, 0.6324, 0.3937)  6 Tm 3.28-3.67
Sm (0.1838, 0.3676, 0.6063)  6 Tm 3.28-3.67
Sm (0.8532, 0.7064, 0.8190)  4 Tm 3.48-3.61, 7 Sm 3.52-3.80, 3 Mg 3.67-3.71
Sm (0.5000, 0.0000, 0.5000)  8 Tm 3.12-3.49
Tm (0.5210, 0.0420, 0.8780)  5 Sm 3.12-3.28
Tm (0.8409, 0.6818, 0.5448)  7 Sm 3.43-3.67, 2 Tm 3.66-3.83
Tm (0.5210, 0.0420, 0.6220)  5 Sm 3.12-3.28
Tm (0.8409, 0.6818, 0.9552)  7 Sm 3.43-3.67, 2 Tm 3.66-3.83
Tm (0.1591, 0.3182, 0.4552)  7 Sm 3.43-3.67, 2 Tm 3.66-3.83
Tm (0.4790, 0.9580, 0.3780)  5 Sm 3.12-3.28
Tm (0.1591, 0.3182, 0.0448)  7 Sm 3.43-3.67, 2 Tm 3.66-3.83
Tm (0.4790, 0.9580, 0.1220)  5 Sm 3.12-3.28
Mg (0.1865, 0.3729, 0.7500)  3 Sm 3.24-3.26
Mg (0.8135, 0.6271, 0.2500)  3 Sm 3.24-3.26

## Properties
- Electronic total energy: -0.155 Ha/atom

[2]
An optimized crystal structure of Hf2GeBi. Source: Alexandria, functional PBE.

abc: 6.2903 6.2903 7.8370
angles: 66.34 66.34 90.00
With the nearest neighbours (Å) after each atom.
Positions (direct):
Bi (0.7500, 0.2500, 0.5000)  4 Hf 2.91
Bi (0.0000, 0.0000, 0.0000)  4 Hf 2.91
Hf (0.8750, 0.8314, 0.7500)  2 Ge 2.60
Hf (0.3750, 0.4186, 0.7500)  2 Ge 2.60
Hf (0.1686, 0.6250, 0.2500)  2 Ge 2.60
Hf (0.5814, 0.1250, 0.2500)  2 Ge 2.60
Ge (0.5000, 0.5000, 0.0000)  4 Hf 2.60
Ge (0.2500, 0.7500, 0.5000)  4 Hf 2.60

## Properties
- Electronic total energy: -0.245 Ha/atom
- Excess energy over the best structure of this formula in the dataset: 0.775 eV per atom

[3]
An optimized crystal structure of K15W7N19. Source: Alexandria, functional PBE.

abc: 6.8719 12.6347 19.7861
angles: 90.68 94.27 99.85
With the nearest neighbours (Å) after each atom.
Positions (direct):
K (0.9223, 0.6743, 0.7899)  3 N 2.79-3.06
K (0.3626, 0.0944, 0.4783)  3 N 2.78-2.91
K (0.8521, 0.1653, 0.8358)  3 N 2.74-2.83
K (0.8756, 0.9015, 0.8997)  5 N 2.78-3.06
K (0.2766, 0.7537, 0.6046)  3 N 2.71-2.87
K (0.9716, 0.3445, 0.0133)  3 N 2.68-2.92
K (0.0284, 0.6555, 0.9867)  3 N 2.68-2.92
K (0.7234, 0.2463, 0.3954)  3 N 2.71-2.87
K (0.2221, 0.2457, 0.7181)  4 N 2.68-3.00
K (0.3942, 0.6204, 0.1590)  3 N 2.63-2.83
K (0.6038, 0.4552, 0.2870)  4 N 2.88-3.04
K (0.9357, 0.0357, 0.3716)  4 N 2.67-2.97
K (0.1479, 0.8347, 0.1642)  3 N 2.74-2.83
K (0.5000, 0.5000, 0.0000)  6 N 3.05-3.28
K (0.4751, 0.3752, 0.5603)  5 N 2.77-3.09
K (0.7779, 0.7543, 0.2819)  4 N 2.68-3.00
K (0.6067, 0.1331, 0.6518)  4 N 2.76-3.06
K (0.6058, 0.3796, 0.8410)  3 N 2.63-2.83
K (0.2770, 0.9180, 0.9975)  4 N 2.74-3.01
K (0.1244, 0.0985, 0.1003)  5 N 2.78-3.06
K (0.2794, 0.9841, 0.8120)  4 N 2.80-3.10
K (0.0000, 0.5000, 0.5000)  2 N 2.84
K (0.3962, 0.5448, 0.7130)  4 N 2.88-3.04
K (0.6374, 0.9056, 0.5217)  3 N 2.78-2.91
K (0.0643, 0.9643, 0.6284)  4 N 2.67-2.97
K (0.3933, 0.8669, 0.3482)  4 N 2.76-3.06
K (0.7206, 0.0159, 0.1880)  4 N 2.80-3.10
K (0.0777, 0.3257, 0.2101)  3 N 2.79-3.06
K (0.7230, 0.0820, 0.0025)  4 N 2.74-3.01
K (0.5249, 0.6248, 0.4397)  5 N 2.77-3.09
N (0.7806, 0.1249, 0.5257)  1 W 1.83
N (0.9028, 0.8947, 0.0549)  1 W 1.82
N (0.7586, 0.6621, 0.0986)  2 W 1.89-1.97
N (0.0644, 0.5194, 0.0946)  1 W 1.79
N (0.2194, 0.8751, 0.4743)  1 W 1.83
N (0.2083, 0.7918, 0.8818)  1 W 1.80
N (0.1987, 0.1645, 0.5912)  1 W 1.82
N (0.0339, 0.4102, 0.7673)  2 W 1.92-1.94
N (0.7917, 0.2082, 0.1182)  1 W 1.80
N (0.4214, 0.2054, 0.1917)  2 W 1.91-1.97
N (0.5606, 0.0702, 0.3105)  1 W 1.82
N (0.4246, 0.2447, 0.0378)  2 W 1.91-1.96
N (0.2530, 0.2142, 0.3384)  2 W 1.88-1.97
N (0.6094, 0.3601, 0.7048)  1 W 1.80
N (0.3401, 0.5760, 0.8588)  2 W 1.93-1.94
N (0.8965, 0.7028, 0.5298)  2 W 1.90-1.96
N (0.4989, 0.8397, 0.1046)  1 W 1.83
N (0.8522, 0.9913, 0.7514)  1 W 1.83
N (0.6599, 0.4240, 0.1412)  2 W 1.93-1.94
N (0.5000, 0.6034, 0.5783)  1 W 1.80
N (0.4394, 0.9298, 0.6895)  1 W 1.82
N (0.1035, 0.2972, 0.4702)  2 W 1.90-1.96
N (0.8013, 0.8355, 0.4088)  1 W 1.82
N (0.5000, 0.3966, 0.4217)  1 W 1.80
N (0.5786, 0.7946, 0.8083)  2 W 1.91-1.97
N (0.0972, 0.1053, 0.9451)  1 W 1.82
N (0.5754, 0.7553, 0.9622)  2 W 1.91-1.96
N (0.9384, 0.3284, 0.6179)  2 W 1.89-1.97
N (0.1268, 0.4408, 0.3419)  2 W 1.91-1.94
N (0.7470, 0.7858, 0.6616)  2 W 1.88-1.97
N (0.5011, 0.1603, 0.8954)  1 W 1.83
N (0.9661, 0.5898, 0.2327)  2 W 1.92-1.94
N (0.9356, 0.4806, 0.9054)  1 W 1.79
N (0.8732, 0.5592, 0.6581)  2 W 1.91-1.94
N (0.2414, 0.3379, 0.9014)  2 W 1.89-1.97
N (0.1478, 0.0087, 0.2486)  1 W 1.83
N (0.0616, 0.6716, 0.3821)  2 W 1.89-1.97
N (0.3906, 0.6399, 0.2952)  1 W 1.80
W (0.2494, 0.3364, 0.3935)  4 N 1.80-1.94
W (0.0004, 0.2255, 0.5507)  4 N 1.82-1.97
W (0.6830, 0.7910, 0.0558)  4 N 1.82-1.97
W (0.9996, 0.7745, 0.4493)  4 N 1.82-1.97
W (0.5769, 0.2710, 0.1227)  4 N 1.80-1.94
W (0.4231, 0.7290, 0.8773)  4 N 1.80-1.94
W (0.1406, 0.5858, 0.3138)  4 N 1.80-1.94
W (0.1343, 0.4509, 0.8587)  4 N 1.79-1.93
W (0.6520, 0.8786, 0.7282)  4 N 1.82-1.97
W (0.8657, 0.5491, 0.1413)  4 N 1.79-1.93
W (0.3170, 0.2090, 0.9442)  4 N 1.82-1.97
W (0.8594, 0.4142, 0.6862)  4 N 1.80-1.94
W (0.7506, 0.6636, 0.6065)  4 N 1.80-1.94
W (0.3480, 0.1214, 0.2718)  4 N 1.82-1.97

## Properties
- Electronic total energy: -0.256 Ha/atom
- Formation energy without anion corrections: -0.4933 eV/atom

[4]
An optimized crystal structure of Cs3LiAu2Br6. Source: Alexandria, functional PBE.

abc: 8.1733 8.1733 9.4551
angles: 90.00 90.00 120.00
With the nearest neighbours (Å) after each atom.
Positions (direct):
Au (0.6667, 0.3333, 0.7026)  3 Br 2.58
Au (0.3333, 0.6667, 0.2974)  3 Br 2.58
Cs (0.0000, 0.0000, 0.0000)  6 Br 3.60
Cs (0.6667, 0.3333, 0.3326)  1 Au 3.50
Cs (0.3333, 0.6667, 0.6674)  1 Au 3.50
Br (0.3028, 0.1514, 0.6946)  1 Au 2.58, 1 Li 2.83
Br (0.1514, 0.8486, 0.3054)  1 Au 2.58, 1 Li 2.83
Br (0.8486, 0.6972, 0.6946)  1 Au 2.58, 1 Li 2.83
Br (0.8486, 0.1514, 0.6946)  1 Au 2.58, 1 Li 2.83
Br (0.6972, 0.8486, 0.3054)  1 Au 2.58, 1 Li 2.83
Br (0.1514, 0.3028, 0.3054)  1 Au 2.58, 1 Li 2.83
Li (0.0000, 0.0000, 0.5000)  6 Br 2.83

## Properties
- Electronic total energy: -0.104 Ha/atom
- Formation energy without anion corrections: -1.0850 eV/atom